No. 1
Here is Er2TmBi3 after structural relaxation from OQMD. Energies are from GGA-PBE.

## Properties
**Crystal system**: trigonal

Cell lengths 4.4231, 4.4231, 10.9050 Å; angles 90.00, 90.00, 120.00 degrees
Sites, in units of the cell vectors:
Bi  0.0000  0.0000  0.0000
Er  0.6667  0.3333  0.1667
Er  0.3333  0.6667  0.8333
Bi  0.6667  0.3333  0.6665
Tm  0.0000  0.0000  0.5000
Bi  0.3333  0.6667  0.3335

No. 2
Here is TbScPb after structural relaxation from OQMD. Energies are from GGA-PBE.

## Properties
**Crystal system**: cubic

Cell lengths 5.0351, 5.0351, 5.0351 Å; angles 60.00, 60.00, 60.00 degrees
Site moments in Bohr magnetons follow the coordinates.
Sites, in units of the cell vectors:
Sc  0.2500  0.2500  0.2500  0.39
Tb  0.7500  0.7500  0.7500  0.25
Pb  0.0000  0.0000  0.0000  -0.03

No. 3
Here is SmTcHg after structural relaxation from OQMD. Energies are from GGA-PBE.

## Properties
**Crystal system**: cubic
**Energy relative to the elements**: 0.6249 eV/atom

Cell lengths 4.7809, 4.7809, 4.7809 Å; angles 60.00, 60.00, 60.00 degrees
Site moments in Bohr magnetons follow the coordinates.
Sites, in units of the cell vectors:
Tc  0.7500  0.7500  0.7500  1.56
Hg  0.0000  0.0000  0.0000  -0.03
Sm  0.2500  0.2500  0.2500  -0.14

No. 4
Here is PrSi2Ni2 after structural relaxation from OQMD. Energies are from GGA-PBE.

## Properties
**Crystal system**: tetragonal

Cell lengths 5.6132, 5.6132, 5.6132 Å; angles 137.49, 137.49, 61.69 degrees
Sites, in units of the cell vectors:
Ni  0.2500  0.7500  0.5000
Si  0.3693  0.3693  0.0000
Si  0.6307  0.6307  0.0000
Pr  0.0000  0.0000  0.0000
Ni  0.7500  0.2500  0.5000

No. 5
Here is Pr2Ho2CBr4Cl after structural relaxation from OQMD. Energies are from GGA-PBE.

## Properties
**Crystal system**: monoclinic

Cell lengths 9.2594, 9.2594, 8.2361 Å; angles 102.14, 102.14, 24.26 degrees
Sites, in units of the cell vectors:
Br  0.8318  0.8318  0.6711
Br  0.8253  0.8253  0.1569
Br  0.1747  0.1747  0.8431
Pr  0.0017  0.0017  0.7858
Br  0.1682  0.1682  0.3289
C  0.5000  0.5000  0.0000
Ho  0.3644  0.3644  0.9298
Pr  0.9983  0.9983  0.2142
Cl  0.5000  0.5000  0.5000
Ho  0.6356  0.6356  0.0702

No. 6
Here is SbOs2Pd after structural relaxation from OQMD. Energies are from GGA-PBE.

## Properties
**Crystal system**: cubic

Cell lengths 4.5176, 4.5176, 4.5176 Å; angles 60.00, 60.00, 60.00 degrees
Sites, in units of the cell vectors:
Pd  0.2500  0.2500  0.2500
Os  0.0000  0.0000  0.0000
Sb  0.5000  0.5000  0.5000
Os  0.7500  0.7500  0.7500

No. 7
Here is LiZnBiPt after structural relaxation from OQMD. Energies are from GGA-PBE.

## Properties
**Crystal system**: cubic

Cell lengths 4.6705, 4.6705, 4.6705 Å; angles 60.00, 60.00, 60.00 degrees
Sites, in units of the cell vectors:
Zn  0.0000  0.0000  0.0000
Bi  0.5000  0.5000  0.5000
Li  0.7500  0.7500  0.7500
Pt  0.2500  0.2500  0.2500

No. 8
Here is SrYAgTe2S after structural relaxation from OQMD. Energies are from GGA-PBE.

## Properties
**Crystal system**: orthorhombic

Cell lengths 7.6102, 7.6102, 10.6495 Å; angles 90.00, 90.00, 146.96 degrees
Sites, in units of the cell vectors:
Ag  0.5197  0.4803  0.7500
S  0.0768  0.9232  0.2500
Te  0.6474  0.3526  0.5554
Te  0.3526  0.6474  0.0554
Ag  0.4803  0.5197  0.2500
Te  0.3526  0.6474  0.4446
S  0.9232  0.0768  0.7500
Te  0.6474  0.3526  0.9446
Sr  0.7274  0.2726  0.2500
Y  0.0000  0.0000  0.5000
Sr  0.2726  0.7274  0.7500
Y  0.0000  0.0000  0.0000

No. 9
Here is LiHfNiAs after structural relaxation from OQMD. Energies are from GGA-PBE.

## Properties
**Crystal system**: cubic

Cell lengths 4.3669, 4.3669, 4.3669 Å; angles 60.00, 60.00, 60.00 degrees
Sites, in units of the cell vectors:
Ni  0.7500  0.7500  0.7500
Li  0.5000  0.5000  0.5000
Hf  0.2500  0.2500  0.2500
As  0.0000  0.0000  0.0000

No. 10
Here is Si2Hg2O5 after structural relaxation from OQMD. Energies are from GGA-PBE.

## Properties
**Crystal system**: tetragonal

Cell lengths 10.3683, 3.2712, 3.2712 Å; angles 90.00, 90.00, 90.00 degrees
Sites, in units of the cell vectors:
Si  0.0000  0.0000  0.0000
O  0.1041  0.0000  0.5000
O  0.5000  0.5000  0.5000
Si  0.5000  0.0000  0.0000
O  0.8959  0.5000  0.0000
Hg  0.2687  0.5000  0.5000
O  0.1041  0.5000  0.0000
Hg  0.7313  0.5000  0.5000
O  0.8959  0.0000  0.5000

No. 11
Here is TmMgGa after structural relaxation from OQMD. Energies are from GGA-PBE.

## Properties
**Crystal system**: hexagonal

Cell lengths 7.8052, 7.8052, 4.0201 Å; angles 90.00, 90.00, 120.00 degrees
Sites, in units of the cell vectors:
Tm  0.7374  0.7374  0.0000
Ga  0.3333  0.6667  0.0000
Mg  0.4021  0.4021  0.5000
Mg  0.5979  0.0000  0.5000
Mg  0.0000  0.5979  0.5000
Ga  0.0000  0.0000  0.5000
Tm  0.0000  0.2626  0.0000
Tm  0.2626  0.0000  0.0000
Ga  0.6667  0.3333  0.0000

No. 12
Here is Li2Mg2NiGe2Pd after structural relaxation from OQMD. Energies are from GGA-PBE.

## Properties
**Crystal system**: tetragonal

Cell lengths 4.3219, 4.3219, 6.1992 Å; angles 90.00, 90.00, 90.00 degrees
Sites, in units of the cell vectors:
Li  0.0000  0.0000  0.5000
Mg  0.0000  0.5000  0.7577
Ni  0.0000  0.0000  0.0000
Mg  0.5000  0.0000  0.2423
Ge  0.0000  0.5000  0.2318
Ge  0.5000  0.0000  0.7682
Pd  0.5000  0.5000  0.5000
Li  0.5000  0.5000  0.0000

no.,VASP energy (eV per atom)
1,-5.111
2,-5.053
3,-4.498
4,-6.148
5,-5.119
6,-7.337
7,-3.627
8,-4.898
9,-5.663
10,-4.242
11,-3.277
12,-3.805